*i*
DFT (GGA-PBE) results for CdNi2Cl after structural relaxation.

Cell lengths 4.442, 4.442, 4.442 Å; angles 60.00, 60.00, 60.00 degrees
Each line ends with the local moment (μB).
Atoms (fractional coordinates):
Ni1 0.750 0.750 0.750  0.21
Cl1 0.000 0.000 0.000  0.02
Cd1 0.500 0.500 0.500  -0.01
Ni2 0.250 0.250 0.250  0.21

Output
- Volume: 62 Å³/f.u.
- Total moment: 0.41 Bohr magnetons per cell



*ii*
DFT (GGA-PBE) results for CdNi2Cl after structural relaxation.

Cell lengths 4.927, 5.166, 2.994 Å; angles 73.73, 88.84, 118.10 degrees
Each line ends with the local moment (μB).
Atoms (fractional coordinates):
Ni1 0.000 0.000 0.000  0.25
Cl1 0.500 0.500 0.000  0.02
Ni2 0.500 0.000 0.500  0.25
Cd1 0.000 0.500 0.500  0.00

Output
- Volume: 63 Å³/f.u.
- Total moment: 0.48 Bohr magnetons per cell



*iii*
DFT (GGA-PBE) results for CdNi2Cl after structural relaxation.

Cell lengths 7.813, 7.813, 7.813 Å; angles 22.48, 22.48, 22.48 degrees
Each line ends with the local moment (μB).
Atoms (fractional coordinates):
Ni1 0.008 0.008 0.008  0.43
Ni2 0.492 0.492 0.492  0.43
Cl1 0.750 0.750 0.750  0.10
Cd1 0.250 0.250 0.250  -0.01

Output
- Volume: 61 Å³/f.u.
- Total moment: 0.93 Bohr magnetons per cell



Which of them is the least stable? Correct choice: *i*.